No. 1
Compound: CaLa3Sb4
Source: Alexandria via LeMat-Bulk
Functional: PBE
Structure: optimized geometry

a b c (Å): 6.5190 6.5190 6.5190
angles (deg): 90.00 90.00 90.00
Space group Pm-3m (No. 221)
Asymmetric unit:
Ca  0.0000  0.0000  0.0000 (multiplicity 1)
La  0.0000  0.5000  0.5000 (multiplicity 3)
Sb  0.0000  0.0000  0.5000 (multiplicity 3)
Sb  0.5000  0.5000  0.5000 (multiplicity 1)

Results
**Magnetic moment**: 0.00 μB per formula unit
**ρ**: 5.66 g cm⁻³
**E_form (uncorrected)**: -1.124 eV per atom

No. 2
Compound: Ca2LaSb
Source: Alexandria via LeMat-Bulk
Functional: PBE
Structure: optimized geometry

a b c (Å): 4.9384 4.9384 5.2444
angles (deg): 90.00 90.00 90.00
Space group P4/mmm (No. 123)
Asymmetric unit:
Ca  0.0000  0.5000  0.0000 (multiplicity 2)
La  0.0000  0.0000  0.5000 (multiplicity 1)
Sb  0.5000  0.5000  0.5000 (multiplicity 1)

Results
**Magnetic moment**: 0.00 μB per formula unit
**ρ**: 4.43 g cm⁻³
**E_form (uncorrected)**: -0.494 eV per atom

No. 3
Compound: Ca2LaSb
Source: Alexandria via LeMat-Bulk
Functional: PBE
Structure: optimized geometry

a b c (Å): 6.8053 11.1758 3.5709
angles (deg): 90.00 90.00 90.00
Space group Cmmm (No. 65)
Asymmetric unit:
Ca  0.2500  0.2500  0.0000 (multiplicity 4)
La  0.0000  0.0000  0.5000 (multiplicity 2)
Sb  0.0000  0.5000  0.5000 (multiplicity 2)

Results
**Magnetic moment**: 0.00 μB per formula unit
**ρ**: 4.17 g cm⁻³
**E_form (uncorrected)**: -0.282 eV per atom

No. 4
Compound: CaLaSm2Sb4
Source: Alexandria via LeMat-Bulk
Functional: PBE
Structure: optimized geometry

a b c (Å): 7.7997 4.5156 7.9174
angles (deg): 90.00 109.26 90.00
Space group P2/m (No. 10)
Asymmetric unit:
Ca  0.0000  0.0000  0.0000 (multiplicity 1)
La  0.5000  0.5000  0.0000 (multiplicity 1)
Sm  0.0000  0.5000  0.5000 (multiplicity 1)
Sm  0.5000  0.0000  0.5000 (multiplicity 1)
Sb  0.2462  0.0000  0.7423 (multiplicity 2)
Sb  0.2516  0.5000  0.2573 (multiplicity 2)

Results
**Magnetic moment**: 0.00 μB per formula unit
**ρ**: 6.10 g cm⁻³
**E_form (uncorrected)**: -1.085 eV per atom